No. 1
A plane-wave DFT calculation with GGA-PBE was carried out for an optimized crystal structure of Mg3Ir.

## Properties
The energy of formation comes out at -0.34 eV/atom. The magnetic moment comes out at 0.0000 μB/atom.

Cell lengths 7.9154, 7.9154, 8.2706 Å; angles 90.00, 90.00, 120.00 degrees
Last column: nearest neighbours and their distance in Å.
Fractional coordinates of all 24 atoms:
Mg (0.0000, 0.0000, 0.0000)  3 Ir 2.65
Mg (0.0000, 0.0000, 0.5000)  3 Ir 2.65
Mg (0.0000, 0.2863, 0.2632)  3 Ir 2.75-2.82, 7 Mg 2.90-3.03
Mg (0.0000, 0.3717, 0.6046)  2 Ir 2.74-2.77, 7 Mg 2.90-3.07
Mg (0.0000, 0.6283, 0.1046)  2 Ir 2.74-2.77, 7 Mg 2.90-3.07
Mg (0.0000, 0.7137, 0.7632)  3 Ir 2.75-2.82, 7 Mg 2.90-3.03
Mg (0.2863, 0.0000, 0.2632)  3 Ir 2.75-2.82, 7 Mg 2.90-3.03
Mg (0.2863, 0.2863, 0.7632)  3 Ir 2.75-2.82, 7 Mg 2.90-3.03
Mg (0.3333, 0.6667, 0.3905)  3 Ir 2.68
Mg (0.3333, 0.6667, 0.8905)  3 Ir 2.68
Mg (0.3717, 0.0000, 0.6046)  2 Ir 2.74-2.77, 7 Mg 2.90-3.07
Mg (0.3717, 0.3717, 0.1046)  2 Ir 2.74-2.77, 7 Mg 2.90-3.07
Mg (0.6283, 0.0000, 0.1046)  2 Ir 2.74-2.77, 7 Mg 2.90-3.07
Mg (0.6283, 0.6283, 0.6046)  2 Ir 2.74-2.77, 7 Mg 2.90-3.07
Mg (0.6667, 0.3333, 0.3905)  3 Ir 2.68
Mg (0.6667, 0.3333, 0.8905)  3 Ir 2.68
Mg (0.7137, 0.0000, 0.7632)  3 Ir 2.75-2.82, 7 Mg 2.90-3.03
Mg (0.7137, 0.7137, 0.2632)  3 Ir 2.75-2.82, 7 Mg 2.90-3.03
Ir (0.0000, 0.3279, 0.9336)  8 Mg 2.65-2.82
Ir (0.0000, 0.6721, 0.4336)  8 Mg 2.65-2.82
Ir (0.3279, 0.0000, 0.9336)  8 Mg 2.65-2.82
Ir (0.3279, 0.3279, 0.4336)  8 Mg 2.65-2.82
Ir (0.6721, 0.0000, 0.4336)  8 Mg 2.65-2.82
Ir (0.6721, 0.6721, 0.9336)  8 Mg 2.65-2.82


No. 2
A plane-wave DFT calculation with GGA-PBE was carried out for an optimized crystal structure of Mg3Ir.

## Properties
The energy of formation comes out at -0.25 eV/atom. The magnetic moment comes out at 0.0000 μB/atom.

Cell lengths 5.4829, 5.4829, 5.4829 Å; angles 145.16, 130.44, 62.00 degrees
Last column: nearest neighbours and their distance in Å.
Fractional coordinates of all 4 atoms:
Mg (0.0000, 0.0000, 0.0000)  4 Ir 2.82, 8 Mg 3.07-3.12
Mg (0.2756, 0.7756, 0.5000)  2 Ir 2.67, 4 Mg 2.86
Mg (0.7244, 0.2244, 0.5000)  2 Ir 2.67, 4 Mg 2.86
Ir (0.5000, 0.5000, 0.0000)  8 Mg 2.67-2.82